First-principles (PBE) data for a relaxed structure of YMg2Cu9, as listed in the Alexandria database.

It has space group P6_3/mmc (No. 194), with a = 5.0620 Å, b = 5.0620 Å, c = 15.9603 Å, α = 90.00°, β = 90.00° and γ = 120.00°. The asymmetric unit holds Y at (0.3333, 0.6667, 0.2500), Mg at (0.3333, 0.6667, 0.0329), Cu at (0.0000, 0.0000, 0.0000), Cu at (0.0000, 0.0000, 0.2500), Cu at (0.1685, 0.3370, 0.6228) and Cu at (0.3333, 0.6667, 0.7500).

First-principles (PBE) data for a relaxed structure of Y4Mg3Cu, as listed in the Alexandria database.

It has space group P4/mmm (No. 123), with a = 3.654 Å, b = 3.654 Å, c = 15.452 Å, α = 90.00°, β = 90.00° and γ = 90.00°. The asymmetric unit holds Y at (0.000, 0.000, 0.107), Y at (0.000, 0.000, 0.369), Mg at (0.500, 0.500, 0.241), Mg at (0.500, 0.500, 0.500) and Cu at (0.500, 0.500, 0.000).

First-principles (PBE) data for a relaxed structure of Y2Mg2Cu15, as listed in the Alexandria database.

It has space group R-3m (No. 166, hexagonal axes), with a = 8.6547 Å, b = 8.6547 Å, c = 12.7659 Å, α = 90.00°, β = 90.00° and γ = 120.00°. The asymmetric unit holds Y at (0.0000, 0.0000, 0.1473), Mg at (0.0000, 0.0000, 0.3947), Cu at (0.0000, 0.3005, 0.5000), Cu at (0.0000, 0.5000, 0.0000) and Cu at (0.0043, 0.5022, 0.6536).

no.,formation enthalpy at 0 K (eV/atom),N(E_F) (states/eV per cell)
1,-0.17,15.4
2,-0.12,9.3
3,-0.14,22.7